Entry 1:
# RbYHgO3

An optimized crystal structure of RbYHgO3 (PBE-GGA, Alexandria via LeMat-Bulk).

Formation energy without anion corrections ... -1941 meV/atom
Space group ... P2_1/m

abc: 3.604 10.701 7.288
angles: 120.02 90.00 90.00
Sites, in units of the cell vectors:
O1 0.250 0.787 0.546
O2 0.250 0.484 0.825
Rb1 0.250 0.332 0.298
Hg1 0.250 0.002 0.701
O3 0.750 0.213 0.454
Y1 0.750 0.350 0.817
O4 0.750 0.516 0.175
Hg2 0.750 0.998 0.299
O5 0.250 0.219 0.859
Y2 0.250 0.650 0.183
Rb2 0.750 0.668 0.702
O6 0.750 0.781 0.141

---

Entry 2:
# Rb2Zr3HgO8

An optimized crystal structure of Rb2Zr3HgO8 (PBE-GGA, Alexandria via LeMat-Bulk).

Formation energy without anion corrections ... -2467 meV/atom
Space group ... R3m

abc: 6.650 6.650 7.869
angles: 65.00 65.00 60.00
Sites, in units of the cell vectors:
Rb1 0.133 0.133 0.602
O1 0.229 0.229 0.862
Zr1 0.495 0.002 0.008
Rb2 0.495 0.495 0.516
O2 0.315 0.750 0.185
Hg1 0.934 0.934 0.198
O3 0.750 0.315 0.185
O4 0.275 0.275 0.175
O5 0.679 0.229 0.862
O6 0.750 0.750 0.185
O7 0.229 0.679 0.862
Zr2 0.002 0.495 0.008
Zr3 0.495 0.495 0.008
O8 0.712 0.712 0.864

---

Entry 3:
# Re2Hg5O10

An optimized crystal structure of Re2Hg5O10 (PBE-GGA, Alexandria via LeMat-Bulk).

Formation energy without anion corrections ... -1023 meV/atom
Energy relative to the lowest polymorph listed for this composition ... 2 meV per atom
Space group ... P2_1/c

abc: 11.837 6.575 8.635
angles: 80.46 90.00 90.00
Sites, in units of the cell vectors:
Re1 0.343 0.617 0.482
Hg1 0.783 0.872 0.316
O1 0.823 0.610 0.096
Hg2 0.717 0.872 0.816
O2 0.948 0.805 0.436
O3 0.710 0.292 0.972
O4 0.448 0.195 0.064
O5 0.790 0.292 0.472
O6 0.091 0.810 0.845
Hg3 0.410 0.000 0.817
Hg4 0.217 0.128 0.684
Hg5 0.000 0.500 0.500
O7 0.210 0.708 0.528
Hg6 0.090 0.000 0.317
O8 0.591 0.190 0.655
O9 0.052 0.195 0.564
O10 0.323 0.390 0.404
Re2 0.843 0.383 0.018
O11 0.290 0.708 0.028
O12 0.177 0.390 0.904
O13 0.677 0.610 0.596
O14 0.923 0.434 0.846
Hg7 0.500 0.500 0.000
Re3 0.157 0.617 0.982
O15 0.409 0.810 0.345
O16 0.423 0.566 0.654
Hg8 0.910 0.000 0.683
Hg9 0.590 0.000 0.183
Hg10 0.283 0.128 0.184
O17 0.077 0.566 0.154
O18 0.552 0.805 0.936
O19 0.577 0.434 0.346
O20 0.909 0.190 0.155
Re4 0.657 0.383 0.518

---

Entry 4:
# Re2HgO

An optimized crystal structure of Re2HgO (PBE-GGA, Alexandria via LeMat-Bulk).

Formation energy without anion corrections ... 845 meV/atom
Energy relative to the lowest polymorph listed for this composition ... 0 meV per atom
Space group ... I4_1/amd

abc: 4.792 4.792 7.413
angles: 71.14 71.14 90.00
Sites, in units of the cell vectors:
Re1 0.875 0.625 0.750
O1 0.250 0.750 0.500
Hg1 0.750 0.250 0.500
Hg2 0.000 0.000 0.000
Re2 0.375 0.125 0.250
Re3 0.375 0.625 0.250
Re4 0.375 0.625 0.750
O2 0.500 0.500 0.000

---

Entry 5:
# Re2Hg5O10

An optimized crystal structure of Re2Hg5O10 (PBE-GGA, Alexandria via LeMat-Bulk).

Formation energy without anion corrections ... -1026 meV/atom
Energy relative to the lowest polymorph listed for this composition ... 0 meV per atom
Space group ... P2_1/c

abc: 12.265 9.024 12.580
angles: 86.01 90.00 90.00
Sites, in units of the cell vectors:
O1 0.427 0.691 0.460
O2 0.420 0.475 0.086
Re1 0.512 0.715 0.570
Hg1 0.212 0.334 0.268
O3 0.608 0.826 0.838
O4 0.649 0.707 0.531
Hg2 0.777 0.987 0.898
O5 0.985 0.109 0.883
O6 0.580 0.525 0.914
Hg3 0.223 0.013 0.102
O7 0.927 0.309 0.040
Hg4 0.757 0.063 0.094
O8 0.682 0.156 0.748
Re2 0.468 0.295 0.073
O9 0.920 0.525 0.414
O10 0.393 0.724 0.893
O11 0.986 0.423 0.828
Hg5 0.986 0.127 0.250
Hg6 0.514 0.127 0.750
Hg7 0.778 0.392 0.234
O12 0.555 0.759 0.056
O13 0.055 0.241 0.444
Hg8 0.288 0.334 0.768
O14 0.851 0.707 0.031
Hg9 0.278 0.608 0.266
Re3 0.532 0.705 0.927
O15 0.818 0.156 0.248
Re4 0.032 0.295 0.573
O16 0.515 0.109 0.383
Re5 0.488 0.285 0.430
Re6 0.012 0.285 0.930
Hg10 0.722 0.392 0.734
O17 0.392 0.174 0.162
O18 0.845 0.892 0.749
O19 0.345 0.108 0.751
O20 0.445 0.241 0.944
Hg11 0.712 0.666 0.232
Hg12 0.788 0.666 0.732
Hg13 0.243 0.937 0.906
Hg14 0.486 0.873 0.250
Hg15 0.257 0.937 0.406
Hg16 0.277 0.013 0.602
O21 0.351 0.293 0.469
O22 0.107 0.724 0.393
O23 0.318 0.844 0.252
O24 0.182 0.844 0.752
Hg17 0.743 0.063 0.594
Re7 0.988 0.715 0.070
O25 0.073 0.691 0.960
O26 0.573 0.309 0.540
O27 0.514 0.423 0.328
O28 0.485 0.891 0.617
O29 0.655 0.892 0.249
O30 0.108 0.174 0.662
O31 0.945 0.759 0.556
O32 0.607 0.276 0.107
Re8 0.968 0.705 0.427
O33 0.486 0.577 0.672
O34 0.080 0.475 0.586
O35 0.014 0.577 0.172
O36 0.892 0.826 0.338
O37 0.015 0.891 0.117
Hg18 0.222 0.608 0.766
Hg19 0.723 0.987 0.398
Hg20 0.014 0.873 0.750
O38 0.149 0.293 0.969
O39 0.155 0.108 0.251
O40 0.893 0.276 0.607

---

Entry 6:
# ReHgO2

An optimized crystal structure of ReHgO2 (PBE-GGA, Alexandria via LeMat-Bulk).

Formation energy without anion corrections ... -580 meV/atom
Space group ... I4_1/amd

abc: 5.963 5.963 6.235
angles: 61.43 61.43 90.00
Sites, in units of the cell vectors:
O1 0.375 0.625 0.250
Re1 0.250 0.750 0.500
O2 0.375 0.625 0.750
Hg1 0.000 0.000 0.000
O3 0.375 0.125 0.250
Hg2 0.750 0.250 0.500
Re2 0.500 0.500 0.000
O4 0.875 0.625 0.750

---

Entry 7:
# Re2HgO

An optimized crystal structure of Re2HgO (PBE-GGA, Alexandria via LeMat-Bulk).

Formation energy without anion corrections ... 1380 meV/atom
Energy relative to the lowest polymorph listed for this composition ... 535 meV per atom
Space group ... Fm-3m

abc: 4.363 4.363 4.363
angles: 60.00 60.00 60.00
Sites, in units of the cell vectors:
O1 0.000 0.000 0.000
Re1 0.750 0.750 0.750
Re2 0.250 0.250 0.250
Hg1 0.500 0.500 0.500

---

Entry 8:
# Re3HgO

An optimized crystal structure of Re3HgO (PBE-GGA, Alexandria via LeMat-Bulk).

Formation energy without anion corrections ... 837 meV/atom
Energy relative to the lowest polymorph listed for this composition ... 0 meV per atom
Space group ... Pm-3m

abc: 4.171 4.171 4.171
angles: 90.00 90.00 90.00
Last column: magnetic moment on the atom in μB.
Sites, in units of the cell vectors:
Re1 0.000 0.000 0.500  0.31
Re2 0.500 0.000 0.000  0.47
O1 0.000 0.000 0.000  -0.01
Hg1 0.500 0.500 0.500  0.03
Re3 0.000 0.500 0.000  0.34

---

Entry 9:
# ReHgO2

An optimized crystal structure of ReHgO2 (PBE-GGA, Alexandria via LeMat-Bulk).

Formation energy without anion corrections ... -774 meV/atom
Space group ... R-3m

abc: 8.246 8.246 8.246
angles: 19.63 19.63 19.63
Sites, in units of the cell vectors:
O1 0.888 0.888 0.888
Re1 0.500 0.500 0.500
O2 0.112 0.112 0.112
Hg1 0.000 0.000 0.000

---

Entry 10:
# Re5Hg3O12

An optimized crystal structure of Re5Hg3O12 (PBE-GGA, Alexandria via LeMat-Bulk).

Formation energy without anion corrections ... -853 meV/atom
Space group ... Ia-3d

abc: 11.762 11.762 11.762
angles: 109.47 109.47 109.47
Sites, in units of the cell vectors:
O1 0.029 0.620 0.191
Re1 0.125 0.375 0.250
O2 0.591 0.971 0.162
Re2 0.500 0.000 0.500
Re3 0.500 0.500 0.000
Hg1 0.375 0.750 0.625
O3 0.162 0.691 0.071
O4 0.471 0.309 0.880
O5 0.409 0.380 0.071
Re4 0.000 0.000 0.500
O6 0.662 0.571 0.191
O7 0.529 0.691 0.120
O8 0.838 0.529 0.409
Hg2 0.250 0.625 0.875
O9 0.591 0.620 0.929
O10 0.620 0.029 0.691
Re5 0.625 0.875 0.250
O11 0.971 0.591 0.662
Hg3 0.750 0.375 0.125
O12 0.162 0.471 0.591
Hg4 0.250 0.125 0.375
O13 0.929 0.809 0.838
Re6 0.500 0.000 0.000
Re7 0.000 0.500 0.000
O14 0.809 0.880 0.971
O15 0.120 0.191 0.529
Re8 0.000 0.000 0.000
O16 0.429 0.338 0.309
Re9 0.750 0.125 0.875
Re10 0.375 0.125 0.750
Re11 0.375 0.250 0.125
Hg5 0.750 0.875 0.625
O17 0.909 0.338 0.529
O18 0.338 0.909 0.029
O19 0.529 0.838 0.909
O20 0.029 0.409 0.338
O21 0.191 0.071 0.662
O22 0.338 0.429 0.809
O23 0.471 0.162 0.091
O24 0.909 0.571 0.880
Hg6 0.375 0.625 0.250
O25 0.429 0.091 0.620
Hg7 0.125 0.250 0.875
Re12 0.125 0.750 0.375
O26 0.809 0.929 0.338
O27 0.880 0.809 0.471
Re13 0.500 0.500 0.500
Re14 0.250 0.375 0.625
O28 0.620 0.591 0.429
Re15 0.625 0.750 0.875
O29 0.691 0.162 0.571
O30 0.091 0.662 0.471
O31 0.838 0.309 0.929
Hg8 0.875 0.125 0.250
O32 0.380 0.971 0.309
O33 0.662 0.091 0.971
O34 0.380 0.409 0.571
O35 0.120 0.929 0.091
O36 0.191 0.120 0.029
Re16 0.000 0.500 0.500
Re17 0.750 0.625 0.375
O37 0.571 0.909 0.380
O38 0.091 0.429 0.120
Hg9 0.625 0.375 0.750
O39 0.971 0.380 0.809
O40 0.880 0.071 0.909
Hg10 0.875 0.750 0.125
Re18 0.875 0.625 0.750
O41 0.929 0.120 0.591
O42 0.409 0.029 0.838
O43 0.071 0.191 0.162
O44 0.571 0.662 0.691
Re19 0.875 0.250 0.625
O45 0.691 0.529 0.620
O46 0.309 0.838 0.429
Hg11 0.125 0.875 0.750
Re20 0.250 0.875 0.125
Hg12 0.625 0.250 0.375
O47 0.309 0.471 0.380
O48 0.071 0.880 0.409

---

Entry 11:
# Re3HgO

An optimized crystal structure of Re3HgO (PBE-GGA, Alexandria via LeMat-Bulk).

Formation energy without anion corrections ... 3824 meV/atom
Energy relative to the lowest polymorph listed for this composition ... 2986 meV per atom
Space group ... Pm-3m

abc: 5.200 5.200 5.200
angles: 90.00 90.00 90.00
Last column: magnetic moment on the atom in μB.
Sites, in units of the cell vectors:
O1 0.500 0.500 0.500  1.03
Re1 0.000 0.000 0.500  3.59
Re2 0.000 0.500 0.000  3.34
Hg1 0.000 0.000 0.000  0.06
Re3 0.500 0.000 0.000  2.96

---

Entry 12:
# ScRe2HgO

An optimized crystal structure of ScRe2HgO (PBE-GGA, Alexandria via LeMat-Bulk).

Formation energy without anion corrections ... -90 meV/atom
Space group ... P4/mmm

abc: 4.174 4.311 4.174
angles: 90.00 90.00 90.00
Sites, in units of the cell vectors:
Sc1 0.000 0.500 0.000
Re1 0.000 0.000 0.500
O1 0.000 0.000 0.000
Hg1 0.500 0.500 0.500
Re2 0.500 0.000 0.000

---

Entry 13:
# ReHgSeO2

An optimized crystal structure of ReHgSeO2 (PBE-GGA, Alexandria via LeMat-Bulk).

Formation energy without anion corrections ... -736 meV/atom
Space group ... P4/mmm

abc: 3.858 3.858 5.556
angles: 90.00 90.00 90.00
Sites, in units of the cell vectors:
O1 0.000 0.500 0.000
Hg1 0.500 0.500 0.500
Re1 0.000 0.000 0.000
Se1 0.000 0.000 0.500
O2 0.500 0.000 0.000

---

Entry 14:
# ReSiHgO6

An optimized crystal structure of ReSiHgO6 (PBE-GGA, Alexandria via LeMat-Bulk).

Formation energy without anion corrections ... -1520 meV/atom
Space group ... P312

abc: 5.022 5.022 5.065
angles: 90.00 89.98 60.01
Last column: magnetic moment on the atom in μB.
Sites, in units of the cell vectors:
O1 0.392 0.982 0.702  0.01
O2 0.982 0.392 0.298  0.01
Hg1 0.000 0.000 0.000  0.03
O3 0.392 0.626 0.298  0.01
O4 0.626 0.392 0.702  0.01
O5 0.626 0.982 0.298  0.01
Si1 0.667 0.667 0.500  0.02
Re1 0.333 0.333 0.500  0.58
O6 0.982 0.626 0.702  0.01

---

Entry 15:
# ReSiHg2O

An optimized crystal structure of ReSiHg2O (PBE-GGA, Alexandria via LeMat-Bulk).

Formation energy without anion corrections ... 561 meV/atom
Space group ... P4/mmm

abc: 5.252 3.242 5.252
angles: 90.00 90.00 90.00
Last column: magnetic moment on the atom in μB.
Sites, in units of the cell vectors:
Hg1 0.500 0.000 0.000  -0.03
Re1 0.500 0.500 0.500  1.52
O1 0.000 0.500 0.000  0.00
Si1 0.000 0.000 0.000  0.04
Hg2 0.000 0.000 0.500  0.00

---

Entry 16:
# SmReHgO6

An optimized crystal structure of SmReHgO6 (PBE-GGA, Alexandria via LeMat-Bulk).

Formation energy without anion corrections ... -1758 meV/atom
Space group ... C2

abc: 5.865 5.863 5.304
angles: 81.64 98.38 58.84
Sites, in units of the cell vectors:
O1 0.001 0.414 0.274
O2 0.414 0.001 0.726
O3 0.112 0.545 0.698
Hg1 0.975 0.975 0.000
Re1 0.319 0.319 0.500
Sm1 0.669 0.669 0.500
O4 0.545 0.112 0.302
O5 0.307 0.657 0.288
O6 0.657 0.307 0.712

---

Entry 17:
# Sr2ReHg2O6

An optimized crystal structure of Sr2ReHg2O6 (PBE-GGA, Alexandria via LeMat-Bulk).

Formation energy without anion corrections ... -1660 meV/atom
Space group ... C2/m

abc: 6.069 6.069 6.974
angles: 92.88 92.88 120.03
Sites, in units of the cell vectors:
O1 0.982 0.719 0.347
Sr1 0.665 0.335 0.500
O2 0.242 0.242 0.344
O3 0.281 0.018 0.653
Sr2 0.335 0.665 0.500
O4 0.018 0.281 0.653
Re1 0.000 0.000 0.500
Hg1 0.853 0.147 0.000
Hg2 0.147 0.853 0.000
O5 0.719 0.982 0.347
O6 0.758 0.758 0.656